[1]
First-principles (PBE) data for crystalline CaSiH3 at its relaxed geometry, as listed in Alexandria.

Summary:
As for the energy above the most stable polymorph in this dataset: 0.000 eV/atom. As for the size of the total moment: 0.00 μB/f.u. Its mass density is 2.2 g cm⁻³.

Geometry as CIF:
```
data_CaSiH3
_chemical_formula_sum 'Ca1 Si1 H3'
_space_group_name_H-M_alt 'P m -3 m'
_space_group_IT_number 221
_space_group_name_Hall '-P 4 2 3'
_cell_length_a 3.777
_cell_length_b 3.777
_cell_length_c 3.777
_cell_angle_alpha 90.00
_cell_angle_beta 90.00
_cell_angle_gamma 90.00
loop_
_atom_site_label
_atom_site_type_symbol
_atom_site_fract_x
_atom_site_fract_y
_atom_site_fract_z
Ca1 Ca 0.000 0.000 0.000
Si1 Si 0.500 0.500 0.500
H1 H 0.000 0.500 0.500
```


[2]
First-principles (PBE) data for crystalline Ca4SiH2 at its relaxed geometry, as listed in Alexandria.

Summary:
The value obtained for the calculated total energy is -3.203 eV per atom. As for the size of the total moment: 0.01 μB/f.u. Its mass density is 1.9 g cm⁻³.

Geometry as CIF:
```
data_Ca4SiH2
_chemical_formula_sum 'Ca16 Si4 H8'
_space_group_name_H-M_alt 'C m c m'
_space_group_IT_number 63
_space_group_name_Hall '-C 2c 2'
_cell_length_a 4.284
_cell_length_b 13.882
_cell_length_c 11.470
_cell_angle_alpha 90.00
_cell_angle_beta 90.00
_cell_angle_gamma 90.00
loop_
_atom_site_label
_atom_site_type_symbol
_atom_site_fract_x
_atom_site_fract_y
_atom_site_fract_z
Ca1 Ca 0.000 0.000 0.000
Ca2 Ca 0.000 0.320 0.107
Ca3 Ca 0.000 0.422 0.750
Si1 Si 0.000 0.083 0.750
H1 H 0.000 0.421 0.548
```


[3]
First-principles (PBE) data for crystalline Ca5Si2H at its relaxed geometry, as listed in Alexandria.

Summary:
The value obtained for the calculated total energy is -3.201 eV per atom. As for the size of the total moment: 1.05 μB/f.u. Its mass density is 2.1 g cm⁻³.

Geometry as CIF:
```
data_Ca5Si2H
_chemical_formula_sum 'Ca10 Si4 H2'
_space_group_name_H-M_alt 'I 4 m m'
_space_group_IT_number 107
_space_group_name_Hall 'I 4 -2'
_cell_length_a 6.886
_cell_length_b 6.886
_cell_length_c 8.715
_cell_angle_alpha 90.00
_cell_angle_beta 90.00
_cell_angle_gamma 90.00
loop_
_atom_site_label
_atom_site_type_symbol
_atom_site_fract_x
_atom_site_fract_y
_atom_site_fract_z
Ca1 Ca 0.000 0.000 0.000
Ca2 Ca 0.248 0.248 0.748
Si1 Si 0.000 0.500 0.496
H1 H 0.000 0.000 0.751
```


[4]
First-principles (PBE) data for crystalline Ca4SiH at its relaxed geometry, as listed in Alexandria.

Summary:
The value obtained for the calculated total energy is -3.083 eV per atom. As for the size of the total moment: 0.00 μB/f.u. Its mass density is 1.9 g cm⁻³.

Geometry as CIF:
```
data_Ca4SiH
_chemical_formula_sum 'Ca8 Si2 H2'
_space_group_name_H-M_alt 'A m m 2'
_space_group_IT_number 38
_cell_length_a 5.020
_cell_length_b 5.036
_cell_length_c 13.161
_cell_angle_alpha 90.00
_cell_angle_beta 90.00
_cell_angle_gamma 90.00
loop_
_space_group_symop_operation_xyz
'x,y,z'
'-x,-y,z'
'-x,y,z'
'x,-y,z'
'x,y+1/2,z+1/2'
'-x,-y+1/2,z+1/2'
'-x,y+1/2,z+1/2'
'x,-y+1/2,z+1/2'
loop_
_atom_site_label
_atom_site_type_symbol
_atom_site_fract_x
_atom_site_fract_y
_atom_site_fract_z
Ca1 Ca 0.000 0.000 0.000
Ca2 Ca 0.000 0.000 0.263
Ca3 Ca 0.500 0.000 0.482
Ca4 Ca 0.500 0.000 0.754
Si1 Si 0.000 0.000 0.622
H1 H 0.500 0.000 0.292
```


[5]
First-principles (PBE) data for crystalline CaSi3H at its relaxed geometry, as listed in Alexandria.

Summary:
As for the energy above the most stable polymorph in this dataset: 0.000 eV/atom. As for the size of the total moment: 0.00 μB/f.u. Its mass density is 2.8 g cm⁻³.

Geometry as CIF:
```
data_CaSi3H
_chemical_formula_sum 'Ca1 Si3 H1'
_space_group_name_H-M_alt 'P m -3 m'
_space_group_IT_number 221
_space_group_name_Hall '-P 4 2 3'
_cell_length_a 4.201
_cell_length_b 4.201
_cell_length_c 4.201
_cell_angle_alpha 90.00
_cell_angle_beta 90.00
_cell_angle_gamma 90.00
loop_
_atom_site_label
_atom_site_type_symbol
_atom_site_fract_x
_atom_site_fract_y
_atom_site_fract_z
Ca1 Ca 0.000 0.000 0.000
Si1 Si 0.000 0.500 0.500
H1 H 0.500 0.500 0.500
```


[6]
First-principles (PBE) data for crystalline Ca4Si2H at its relaxed geometry, as listed in Alexandria.

Summary:
As for the energy above the most stable polymorph in this dataset: 0.134 eV/atom. As for the size of the total moment: 0.85 μB/f.u. Its mass density is 2.1 g cm⁻³.

Geometry as CIF:
```
data_Ca4Si2H
_chemical_formula_sum 'Ca8 Si4 H2'
_space_group_name_H-M_alt 'I 4/m m m'
_space_group_IT_number 139
_space_group_name_Hall '-I 4 2'
_cell_length_a 4.655
_cell_length_b 4.655
_cell_length_c 15.818
_cell_angle_alpha 90.00
_cell_angle_beta 90.00
_cell_angle_gamma 90.00
loop_
_atom_site_label
_atom_site_type_symbol
_atom_site_fract_x
_atom_site_fract_y
_atom_site_fract_z
Ca1 Ca 0.000 0.000 0.182
Ca2 Ca 0.000 0.500 0.000
Si1 Si 0.000 0.000 0.372
H1 H 0.000 0.000 0.500
```